Computed, not measured: CeMgGa2Pd4 after structural relaxation at the PBE level of DFT.

Summary:
DOS at the Fermi energy = 1.05 states/eV per atom
raw total energy = -0.3674 Ry/atom
volume = 142 Å³/f.u.
symmetry = R-3m

```
data_CeMgGa2Pd4
_symmetry_space_group_name_H-M 'P 1'
_symmetry_Int_Tables_number 1
_symmetry_space_group_name_Hall 'P 1'
_cell_length_a 4.361
_cell_length_b 4.361
_cell_length_c 8.956
_cell_angle_alpha 75.91
_cell_angle_beta 75.91
_cell_angle_gamma 60.00
loop_
_atom_site_label
_atom_site_fract_x
_atom_site_fract_y
_atom_site_fract_z
_atom_site_occupancy
Ce1 0.000 0.000 0.000 1
Mg1 0.500 0.500 0.500 1
Ga1 0.760 0.760 0.720 1
Ga2 0.240 0.240 0.280 1
Pd1 0.399 0.399 0.804 1
Pd2 0.870 0.870 0.391 1
Pd3 0.130 0.130 0.609 1
Pd4 0.601 0.601 0.196 1
```



Computed, not measured: CeMgGaPd after structural relaxation at the PBE level of DFT.

Summary:
DOS at the Fermi energy = 1.40 states/eV per atom
raw total energy = -0.3297 Ry/atom
volume = 82 Å³/f.u.
symmetry = F-43m
relative energy among the computed polymorphs = 0 kJ/mol of formula units

```
data_CeMgGaPd
_symmetry_space_group_name_H-M 'P 1'
_symmetry_Int_Tables_number 1
_symmetry_space_group_name_Hall 'P 1'
_cell_length_a 4.883
_cell_length_b 4.883
_cell_length_c 4.883
_cell_angle_alpha 60.00
_cell_angle_beta 60.00
_cell_angle_gamma 60.00
loop_
_atom_site_label
_atom_site_fract_x
_atom_site_fract_y
_atom_site_fract_z
_atom_site_occupancy
Mg1 0.000 0.000 0.000 1
Ga1 0.250 0.250 0.250 1
Pd1 0.750 0.750 0.750 1
Ce1 0.500 0.500 0.500 1
```



Computed, not measured: CeMgGa4Pd2 after structural relaxation at the PBE level of DFT.

Summary:
DOS at the Fermi energy = 0.87 states/eV per atom
raw total energy = -0.3154 Ry/atom
volume = 147 Å³/f.u.
symmetry = R-3m

```
data_CeMgGa4Pd2
_symmetry_space_group_name_H-M 'P 1'
_symmetry_Int_Tables_number 1
_symmetry_space_group_name_Hall 'P 1'
_cell_length_a 4.383
_cell_length_b 4.383
_cell_length_c 9.200
_cell_angle_alpha 76.22
_cell_angle_beta 76.22
_cell_angle_gamma 60.00
loop_
_atom_site_label
_atom_site_fract_x
_atom_site_fract_y
_atom_site_fract_z
_atom_site_occupancy
Ce1 0.000 0.000 0.000 1
Mg1 0.500 0.500 0.500 1
Ga1 0.395 0.395 0.815 1
Ga2 0.880 0.880 0.361 1
Ga3 0.120 0.120 0.639 1
Ga4 0.605 0.605 0.185 1
Pd1 0.770 0.770 0.691 1
Pd2 0.230 0.230 0.309 1
```



Computed, not measured: CePrMgGa after structural relaxation at the PBE level of DFT.

Summary:
DOS at the Fermi energy = 2.43 states/eV per atom
raw total energy = -0.2992 Ry/atom
volume = 107 Å³/f.u.
symmetry = F-43m

```
data_CePrMgGa
_symmetry_space_group_name_H-M 'P 1'
_symmetry_Int_Tables_number 1
_symmetry_space_group_name_Hall 'P 1'
_cell_length_a 5.323
_cell_length_b 5.323
_cell_length_c 5.323
_cell_angle_alpha 60.00
_cell_angle_beta 60.00
_cell_angle_gamma 60.00
loop_
_atom_site_label
_atom_site_fract_x
_atom_site_fract_y
_atom_site_fract_z
_atom_site_occupancy
Pr1 0.500 0.500 0.500 1
Mg1 0.250 0.250 0.250 1
Ga1 0.750 0.750 0.750 1
Ce1 0.000 0.000 0.000 1
```



Computed, not measured: CeMgGaPt3 after structural relaxation at the PBE level of DFT.

Summary:
DOS at the Fermi energy = 1.32 states/eV per atom
raw total energy = -0.3971 Ry/atom
volume = 121 Å³/f.u.
symmetry = Cmcm

```
data_CeMgGaPt3
_symmetry_space_group_name_H-M 'P 1'
_symmetry_Int_Tables_number 1
_symmetry_space_group_name_Hall 'P 1'
_cell_length_a 5.704
_cell_length_b 6.920
_cell_length_c 7.023
_cell_angle_alpha 119.52
_cell_angle_beta 90.00
_cell_angle_gamma 90.00
loop_
_atom_site_label
_atom_site_fract_x
_atom_site_fract_y
_atom_site_fract_z
_atom_site_occupancy
Ce1 0.750 0.310 0.620 1
Ce2 0.250 0.690 0.380 1
Mg1 0.250 0.945 0.889 1
Mg2 0.750 0.055 0.111 1
Ga1 0.250 0.369 0.737 1
Ga2 0.750 0.631 0.263 1
Pt1 0.250 0.168 0.336 1
Pt2 0.000 0.296 0.000 1
Pt3 0.500 0.704 0.000 1
Pt4 0.500 0.296 0.000 1
Pt5 0.000 0.704 0.000 1
Pt6 0.750 0.832 0.664 1
```



Computed, not measured: CeMgGaPt after structural relaxation at the PBE level of DFT.

Summary:
DOS at the Fermi energy = 1.41 states/eV per atom
raw total energy = -0.3440 Ry/atom
volume = 87 Å³/f.u.
symmetry = P4/nmm
relative energy among the computed polymorphs = 60 kJ/mol of formula units

```
data_CeMgGaPt
_symmetry_space_group_name_H-M 'P 1'
_symmetry_Int_Tables_number 1
_symmetry_space_group_name_Hall 'P 1'
_cell_length_a 4.035
_cell_length_b 4.035
_cell_length_c 10.723
_cell_angle_alpha 90.00
_cell_angle_beta 90.00
_cell_angle_gamma 90.00
loop_
_atom_site_label
_atom_site_fract_x
_atom_site_fract_y
_atom_site_fract_z
_atom_site_occupancy
Ce1 0.000 0.500 0.812 1
Ce2 0.500 0.000 0.188 1
Mg1 0.000 0.000 0.500 1
Mg2 0.500 0.500 0.500 1
Ga1 0.000 0.500 0.325 1
Ga2 0.500 0.000 0.675 1
Pt1 0.500 0.000 0.913 1
Pt2 0.000 0.500 0.087 1
```



Computed, not measured: CeMgGaPt after structural relaxation at the PBE level of DFT.

Summary:
DOS at the Fermi energy = 1.13 states/eV per atom
raw total energy = -0.3555 Ry/atom
volume = 81 Å³/f.u.
symmetry = F-43m
relative energy among the computed polymorphs = 0 kJ/mol of formula units

```
data_CeMgGaPt
_symmetry_space_group_name_H-M 'P 1'
_symmetry_Int_Tables_number 1
_symmetry_space_group_name_Hall 'P 1'
_cell_length_a 4.866
_cell_length_b 4.866
_cell_length_c 4.866
_cell_angle_alpha 60.00
_cell_angle_beta 60.00
_cell_angle_gamma 60.00
loop_
_atom_site_label
_atom_site_fract_x
_atom_site_fract_y
_atom_site_fract_z
_atom_site_occupancy
Mg1 0.500 0.500 0.500 1
Ga1 0.750 0.750 0.750 1
Ce1 0.000 0.000 0.000 1
Pt1 0.250 0.250 0.250 1
```



Computed, not measured: CeMgGa2Pt2 after structural relaxation at the PBE level of DFT.

Summary:
DOS at the Fermi energy = 1.09 states/eV per atom
raw total energy = -0.3785 Ry/atom
volume = 114 Å³/f.u.
symmetry = P-3m1

```
data_CeMgGa2Pt2
_symmetry_space_group_name_H-M 'P 1'
_symmetry_Int_Tables_number 1
_symmetry_space_group_name_Hall 'P 1'
_cell_length_a 4.430
_cell_length_b 4.430
_cell_length_c 6.723
_cell_angle_alpha 90.00
_cell_angle_beta 90.00
_cell_angle_gamma 120.00
loop_
_atom_site_label
_atom_site_fract_x
_atom_site_fract_y
_atom_site_fract_z
_atom_site_occupancy
Ce1 0.000 0.000 0.000 1
Mg1 0.000 0.000 0.500 1
Ga1 0.667 0.333 0.704 1
Ga2 0.333 0.667 0.296 1
Pt1 0.667 0.333 0.281 1
Pt2 0.333 0.667 0.719 1
```



Computed, not measured: Ce2MgGa4Pt3 after structural relaxation at the PBE level of DFT.

Summary:
DOS at the Fermi energy = 1.35 states/eV per atom
raw total energy = -0.3822 Ry/atom
volume = 197 Å³/f.u.
symmetry = P-4m2

```
data_Ce2MgGa4Pt3
_symmetry_space_group_name_H-M 'P 1'
_symmetry_Int_Tables_number 1
_symmetry_space_group_name_Hall 'P 1'
_cell_length_a 4.189
_cell_length_b 4.189
_cell_length_c 11.210
_cell_angle_alpha 90.00
_cell_angle_beta 90.00
_cell_angle_gamma 90.00
loop_
_atom_site_label
_atom_site_fract_x
_atom_site_fract_y
_atom_site_fract_z
_atom_site_occupancy
Ce1 0.500 0.000 0.235 1
Ce2 0.000 0.500 0.765 1
Mg1 0.500 0.500 0.500 1
Ga1 0.500 0.500 0.000 1
Ga2 0.000 0.000 0.000 1
Ga3 0.500 0.000 0.643 1
Ga4 0.000 0.500 0.357 1
Pt1 0.000 0.000 0.500 1
Pt2 0.500 0.000 0.866 1
Pt3 0.000 0.500 0.134 1
```



Computed, not measured: CePuMgGa after structural relaxation at the PBE level of DFT.

Summary:
DOS at the Fermi energy = 2.74 states/eV per atom
raw total energy = -0.4639 Ry/atom
volume = 100 Å³/f.u.
symmetry = F-43m

```
data_CePuMgGa
_symmetry_space_group_name_H-M 'P 1'
_symmetry_Int_Tables_number 1
_symmetry_space_group_name_Hall 'P 1'
_cell_length_a 5.213
_cell_length_b 5.213
_cell_length_c 5.213
_cell_angle_alpha 60.00
_cell_angle_beta 60.00
_cell_angle_gamma 60.00
loop_
_atom_site_label
_atom_site_fract_x
_atom_site_fract_y
_atom_site_fract_z
_atom_site_occupancy
Mg1 0.750 0.750 0.750 1
Ga1 0.250 0.250 0.250 1
Ce1 0.500 0.500 0.500 1
Pu1 0.000 0.000 0.000 1
```



Computed, not measured: CeMgGaRh after structural relaxation at the PBE level of DFT.

Summary:
DOS at the Fermi energy = 0.93 states/eV per atom
raw total energy = -0.3644 Ry/atom
volume = 79 Å³/f.u.
symmetry = F-43m

```
data_CeMgGaRh
_symmetry_space_group_name_H-M 'P 1'
_symmetry_Int_Tables_number 1
_symmetry_space_group_name_Hall 'P 1'
_cell_length_a 4.813
_cell_length_b 4.813
_cell_length_c 4.813
_cell_angle_alpha 60.00
_cell_angle_beta 60.00
_cell_angle_gamma 60.00
loop_
_atom_site_label
_atom_site_fract_x
_atom_site_fract_y
_atom_site_fract_z
_atom_site_occupancy
Mg1 0.500 0.500 0.500 1
Rh1 0.750 0.750 0.750 1
Ga1 0.250 0.250 0.250 1
Ce1 0.000 0.000 0.000 1
```



Computed, not measured: CeMg2GaRu2 after structural relaxation at the PBE level of DFT.

Summary:
DOS at the Fermi energy = 0.61 states/eV per atom
raw total energy = -0.3982 Ry/atom
volume = 111 Å³/f.u.
symmetry = Pmc2_1

```
data_CeMg2GaRu2
_symmetry_space_group_name_H-M 'P 1'
_symmetry_Int_Tables_number 1
_symmetry_space_group_name_Hall 'P 1'
_cell_length_a 3.650
_cell_length_b 7.162
_cell_length_c 8.519
_cell_angle_alpha 90.00
_cell_angle_beta 90.00
_cell_angle_gamma 90.00
loop_
_atom_site_label
_atom_site_fract_x
_atom_site_fract_y
_atom_site_fract_z
_atom_site_occupancy
Ce1 0.000 0.966 0.394 1
Ce2 0.000 0.466 0.606 1
Mg1 0.500 0.064 0.060 1
Mg2 0.000 0.372 0.179 1
Mg3 0.500 0.564 0.940 1
Mg4 0.000 0.872 0.821 1
Ga1 0.500 0.119 0.688 1
Ga2 0.500 0.619 0.312 1
Ru1 0.000 0.270 0.865 1
Ru2 0.500 0.255 0.402 1
Ru3 0.000 0.770 0.135 1
Ru4 0.500 0.755 0.598 1
```



Computed, not measured: Ce2MgGaRu after structural relaxation at the PBE level of DFT.

Summary:
DOS at the Fermi energy = 1.31 states/eV per atom
raw total energy = -0.3984 Ry/atom
volume = 111 Å³/f.u.
symmetry = P2_1/m

```
data_Ce2MgGaRu
_symmetry_space_group_name_H-M 'P 1'
_symmetry_Int_Tables_number 1
_symmetry_space_group_name_Hall 'P 1'
_cell_length_a 4.741
_cell_length_b 8.320
_cell_length_c 6.051
_cell_angle_alpha 111.88
_cell_angle_beta 90.00
_cell_angle_gamma 90.00
loop_
_atom_site_label
_atom_site_fract_x
_atom_site_fract_y
_atom_site_fract_z
_atom_site_occupancy
Ce1 0.750 0.930 0.629 1
Ce2 0.750 0.756 0.055 1
Ce3 0.250 0.070 0.371 1
Ce4 0.250 0.244 0.945 1
Mg1 0.250 0.647 0.374 1
Mg2 0.750 0.353 0.626 1
Ga1 0.250 0.546 0.779 1
Ga2 0.750 0.454 0.221 1
Ru1 0.250 0.880 0.865 1
Ru2 0.750 0.120 0.135 1
```